DFT (GGA-PBE) results for a relaxed structure of Tb2Pm6YEr.

Unit cell a=8.944 b=8.944 c=9.646 alpha=93.80 beta=93.80 gamma=118.17
Fractional coordinates of all 20 atoms:
Tb (0.197, 0.300, 0.456)
Tb (0.300, 0.197, 0.956)
Tb (0.700, 0.803, 0.044)
Tb (0.803, 0.700, 0.544)
Pm (0.005, 0.790, 0.881)
Pm (0.067, 0.514, 0.688)
Pm (0.210, 0.995, 0.619)
Pm (0.260, 0.622, 0.054)
Pm (0.378, 0.740, 0.446)
Pm (0.486, 0.933, 0.812)
Pm (0.514, 0.067, 0.188)
Pm (0.622, 0.260, 0.554)
Pm (0.740, 0.378, 0.946)
Pm (0.790, 0.005, 0.381)
Pm (0.933, 0.486, 0.312)
Pm (0.995, 0.210, 0.119)
Y (0.475, 0.525, 0.750)
Y (0.525, 0.475, 0.250)
Er (0.089, 0.911, 0.250)
Er (0.911, 0.089, 0.750)

Properties
DFT formation energy   0.11 eV/atom
SG   No. 15
Total magnetization   0.00 μB per formula unit
DOS at the Fermi energy   1.367 states/eV per atom